Compound: PmYAlGe
Source: the Alexandria database
Functional: GGA-PBE
Structure: relaxed

It has space group F-43m (No. 216), with a = 7.2998 Å, b = 7.2998 Å, c = 7.2998 Å, α = 90.00°, β = 90.00° and γ = 90.00°. The asymmetric unit holds Pm at (0.0000, 0.0000, 0.0000), Y at (0.0000, 0.0000, 0.5000), Al at (0.2500, 0.2500, 0.7500) and Ge at (0.2500, 0.2500, 0.2500).

The calculation puts the polymorph energy (0 for the lowest one) at 243 meV/atom. The calculation puts the size of the total moment at 0.00 μB/cell. The electronic total energy comes out at -5.349 eV per atom. For the energy relative to the elements, the calculation gives -455 meV/atom.

---

Compound: BaCo4Cl
Source: the Alexandria database
Functional: GGA-PBE
Structure: relaxed

It has space group F-43m (No. 216), with a = 7.4457 Å, b = 7.4457 Å, c = 7.4457 Å, α = 90.00°, β = 90.00° and γ = 90.00°. The asymmetric unit holds Ba at (0.0000, 0.0000, 0.0000), Co at (0.1230, 0.1230, 0.3770) and Cl at (0.2500, 0.2500, 0.7500).

The calculation puts the size of the total moment at 27.73 μB/cell. The electronic total energy comes out at -4.872 eV per atom. As for the uncorrected formation energy: 0.4937 eV per atom.

---

Compound: BaHfUS6
Source: the Alexandria database
Functional: GGA-PBE
Structure: relaxed

It has space group P-31c (No. 163), with a = 6.6598 Å, b = 6.6598 Å, c = 13.6644 Å, α = 90.00°, β = 90.00° and γ = 120.00°. The asymmetric unit holds Ba at (0.0000, 0.0000, 0.0000), Hf at (0.3333, 0.6667, 0.2500), U at (0.3333, 0.6667, 0.7500) and S at (0.0019, 0.3843, 0.1414).

The calculation puts the size of the total moment at 0.00 μB/cell. The electronic total energy comes out at -6.842 eV per atom. As for the uncorrected formation energy: -1.5170 eV per atom.

---

Compound: Tm2ZnCoC
Source: the Alexandria database
Functional: GGA-PBE
Structure: relaxed

It has space group P4/mmm (No. 123), with a = 4.8871 Å, b = 4.8871 Å, c = 3.6263 Å, α = 90.00°, β = 90.00° and γ = 90.00°. The asymmetric unit holds Tm at (0.0000, 0.5000, 0.0000), Zn at (0.0000, 0.0000, 0.5000), Co at (0.5000, 0.5000, 0.5000) and C at (0.5000, 0.5000, 0.0000).

The calculation puts the size of the total moment at 0.00 μB/cell. The electronic total energy comes out at -5.702 eV per atom. For the energy relative to the elements, the calculation gives -392 meV/atom.

---

Compound: Mn2ZnOs
Source: the Alexandria database
Functional: GGA-PBE
Structure: relaxed

It has space group I4/mmm (No. 139), with a = 3.7810 Å, b = 3.7810 Å, c = 7.2912 Å, α = 90.00°, β = 90.00° and γ = 90.00°. The asymmetric unit holds Mn at (0.0000, 0.5000, 0.2500), Zn at (0.0000, 0.0000, 0.0000) and Os at (0.0000, 0.0000, 0.5000).

The calculation puts the size of the total moment at 9.61 μB/cell. The electronic total energy comes out at -7.562 eV per atom. For the energy relative to the elements, the calculation gives 148 meV/atom.

---

Compound: TbCeThSc
Source: the Alexandria database
Functional: GGA-PBE
Structure: relaxed

It has space group R3m (No. 160, hexagonal axes), with a = 3.4931 Å, b = 3.4931 Å, c = 33.3245 Å, α = 90.00°, β = 90.00° and γ = 120.00°. The asymmetric unit holds Tb at (0.0000, 0.0000, 0.0000), Ce at (0.0000, 0.0000, 0.7534), Th at (0.0000, 0.0000, 0.1707) and Sc at (0.0000, 0.0000, 0.5847).

The calculation puts the polymorph energy (0 for the lowest one) at 0 meV/atom. The calculation puts the size of the total moment at 1.31 μB/cell. The electronic total energy comes out at -6.027 eV per atom. For the energy relative to the elements, the calculation gives 52 meV/atom.